Entry 1:
VASP calculation (GGA-PBE) on KYC after structural relaxation.

Structure (POSCAR):
```
KYC
1.0
6.515 0.000 0.000
0.000 8.839 0.000
0.000 0.000 6.514
Y K C
4 4 4
Direct
0.000 0.000 0.000 Y
0.500 0.500 0.500 Y
0.500 0.000 0.500 Y
0.000 0.500 0.000 Y
0.500 0.250 0.000 K
0.000 0.750 0.500 K
0.500 0.750 0.000 K
0.000 0.250 0.500 K
0.502 0.250 0.500 C
0.998 0.750 0.000 C
0.498 0.750 0.500 C
0.002 0.250 0.000 C
```

Computed properties:
* D(E_F): 0.6834 states/eV per atom
* relative energy among the computed polymorphs: 1.083 eV per atom

Entry 2:
VASP calculation (GGA-PBE) on DyNi5Pb after structural relaxation.

Structure (POSCAR):
```
DyNi5Pb
1.0
-3.946 2.877 -0.444
-3.095 -3.193 6.823
4.740 7.366 5.598
Dy Ni Pb
4 20 4
Direct
0.250 0.256 0.938 Dy
0.750 0.244 0.438 Dy
0.250 0.756 0.562 Dy
0.750 0.744 0.062 Dy
0.250 0.579 0.017 Ni
0.750 0.921 0.517 Ni
0.250 0.079 0.483 Ni
0.750 0.421 0.983 Ni
0.750 0.313 0.761 Ni
0.250 0.187 0.261 Ni
0.750 0.813 0.739 Ni
0.250 0.687 0.239 Ni
0.250 0.949 0.108 Ni
0.750 0.551 0.608 Ni
0.250 0.449 0.392 Ni
0.750 0.051 0.892 Ni
0.002 0.432 0.187 Ni
0.998 0.068 0.687 Ni
0.498 0.932 0.313 Ni
0.502 0.568 0.813 Ni
0.998 0.568 0.813 Ni
0.002 0.932 0.313 Ni
0.502 0.068 0.687 Ni
0.498 0.432 0.187 Ni
0.250 0.863 0.865 Pb
0.750 0.637 0.365 Pb
0.250 0.363 0.635 Pb
0.750 0.137 0.135 Pb
```

Computed properties:
* D(E_F): 1.0659 states/eV per atom
* calculated total energy: -5.5469 eV/atom

Entry 3:
VASP calculation (GGA-PBE) on Rb2In4Pt after structural relaxation.

Structure (POSCAR):
```
Rb2In4Pt
1.0
5.220 0.000 0.000
0.000 5.220 0.000
2.610 2.610 10.092
Rb Pt In
2 1 4
Direct
0.673 0.673 0.655 Rb
0.327 0.327 0.345 Rb
0.000 0.000 0.000 Pt
0.867 0.867 0.267 In
0.133 0.133 0.733 In
0.000 0.500 0.000 In
0.500 0.000 0.000 In
```

Computed properties:
* D(E_F): 0.7453 states/eV per atom
* calculated total energy: -2.8129 eV/atom

Entry 4:
VASP calculation (GGA-PBE) on Dy2YSe4 after structural relaxation.

Structure (POSCAR):
```
Dy2YSe4
1.0
-2.500 2.959 0.856
-1.428 -1.962 -6.580
-9.202 -9.141 4.723
Dy Y Se
4 2 8
Direct
0.130 0.260 0.430 Dy
0.870 0.740 0.930 Dy
0.130 0.260 0.070 Dy
0.870 0.740 0.570 Dy
0.627 0.254 0.750 Y
0.373 0.746 0.250 Y
0.777 0.554 0.122 Se
0.777 0.554 0.378 Se
0.223 0.446 0.878 Se
0.223 0.446 0.622 Se
0.971 0.942 0.750 Se
0.029 0.058 0.250 Se
0.500 0.000 0.000 Se
0.500 0.000 0.500 Se
```

Computed properties:
* energy relative to the elements, uncorrected: -1.836 eV/atom
* D(E_F): 0.3416 states/eV per atom

Entry 5:
VASP calculation (GGA-PBE) on LaY3ErTh after structural relaxation.

Structure (POSCAR):
```
LaY3ErTh
1.0
5.094 0.000 0.000
0.000 7.951 -1.207
0.000 -3.222 10.248
La Y Er Th
2 6 2 2
Direct
0.250 0.119 0.294 La
0.750 0.881 0.706 La
0.750 0.866 0.043 Y
0.250 0.134 0.957 Y
0.250 0.627 0.455 Y
0.750 0.373 0.545 Y
0.750 0.384 0.206 Y
0.250 0.616 0.794 Y
0.250 0.130 0.629 Er
0.750 0.870 0.371 Er
0.250 0.622 0.122 Th
0.750 0.378 0.878 Th
```

Computed properties:
* D(E_F): 1.7150 states/eV per atom
* calculated total energy: -6.0140 eV/atom

Entry 6:
VASP calculation (GGA-PBE) on PaAs4Pd6 after structural relaxation.

Structure (POSCAR):
```
PaAs4Pd6
1.0
4.026 0.000 0.000
0.000 6.412 -3.702
0.000 0.000 7.404
Pa As Pd
1 4 6
Direct
0.000 0.000 0.000 Pa
0.500 0.815 0.629 As
0.500 0.371 0.185 As
0.500 0.815 0.185 As
0.000 0.333 0.667 As
0.000 0.536 0.073 Pd
0.500 0.602 0.801 Pd
0.000 0.536 0.464 Pd
0.000 0.927 0.464 Pd
0.500 0.199 0.801 Pd
0.500 0.199 0.398 Pd
```

Computed properties:
* D(E_F): 1.0907 states/eV per atom
* calculated total energy: -5.8404 eV/atom

Entry 7:
VASP calculation (GGA-PBE) on CePr2Dy4 after structural relaxation.

Structure (POSCAR):
```
CePr2Dy4
1.0
3.609 0.000 0.000
-1.805 3.119 -0.265
0.000 -0.373 20.433
Pr Ce Dy
2 1 4
Direct
0.624 0.247 0.094 Pr
0.713 0.427 0.383 Pr
0.805 0.610 0.668 Ce
0.903 0.806 0.947 Dy
0.431 0.862 0.528 Dy
0.001 0.002 0.240 Dy
0.525 0.049 0.809 Dy
```

Computed properties:
* D(E_F): 1.8539 states/eV per atom
* calculated total energy: -4.7966 eV/atom

Entry 8:
VASP calculation (GGA-PBE) on TlOsBr2 after structural relaxation.

Structure (POSCAR):
```
TlOsBr2
1.0
5.539 -0.003 0.018
4.313 3.475 0.018
2.766 0.974 6.247
Tl Os Br
1 1 2
Direct
0.180 0.180 0.375 Tl
0.450 0.450 0.375 Os
0.013 0.013 0.097 Br
0.856 0.856 0.652 Br
```

Computed properties:
* energy relative to the elements, uncorrected: 0.278 eV/atom
* D(E_F): 0.7417 states/eV per atom
* relative energy among the computed polymorphs: 0.000 eV per atom

Entry 9:
VASP calculation (GGA-PBE) on Nb2TePtPb after structural relaxation.

Structure (POSCAR):
```
Nb2TePtPb
1.0
5.035 0.000 0.000
0.000 5.493 0.000
0.000 0.000 5.035
Pb Nb Te Pt
1 2 1 1
Direct
0.000 0.500 0.000 Pb
0.000 0.000 0.500 Nb
0.500 0.000 0.000 Nb
0.500 0.500 0.500 Te
0.000 0.000 0.000 Pt
```

Computed properties:
* energy relative to the elements, uncorrected: 0.863 eV/atom
* D(E_F): 1.0860 states/eV per atom

Entry 10:
VASP calculation (GGA-PBE) on Mo3AsI after structural relaxation.

Structure (POSCAR):
```
Mo3AsI
1.0
-3.127 -2.513 -2.489
-2.305 -1.072 3.978
-2.683 3.850 -0.516
I Mo As
1 3 1
Direct
0.500 0.500 0.500 I
0.000 0.500 0.000 Mo
0.000 0.000 0.500 Mo
0.500 0.000 0.000 Mo
0.000 0.000 0.000 As
```

Computed properties:
* energy relative to the elements, uncorrected: 1.375 eV/atom
* D(E_F): 1.3999 states/eV per atom
* relative energy among the computed polymorphs: 0.000 eV per atom